Record 1
First-principles (PBE) data for a relaxed Rb4Ce6Br19 crystal, as listed in Alexandria.

Values from the calculation:
N(E_F) = 1.6316 states/eV/atom
DFT total energy = -0.3087 Ry/atom
Formation energy without anion corrections = -50.53 eV/f.u.

a = 11.377 Å, b = 11.377 Å, c = 11.377 Å
α = 109.47°, β = 109.47°, γ = 109.47°
Atoms (fractional coordinates):
Rb  0.000  0.000  0.300
Rb  0.000  0.300  0.000
Rb  0.300  0.000  0.000
Rb  0.700  0.700  0.700
Ce  0.163  0.500  0.663
Ce  0.337  0.837  0.500
Ce  0.500  0.337  0.837
Ce  0.500  0.663  0.163
Ce  0.663  0.163  0.500
Ce  0.837  0.500  0.337
Br  0.000  0.000  0.000
Br  0.000  0.344  0.344
Br  0.000  0.656  0.656
Br  0.029  0.662  0.255
Br  0.226  0.633  0.971
Br  0.255  0.029  0.662
Br  0.338  0.367  0.593
Br  0.344  0.000  0.344
Br  0.344  0.344  0.000
Br  0.367  0.593  0.338
Br  0.407  0.774  0.745
Br  0.593  0.338  0.367
Br  0.633  0.971  0.226
Br  0.656  0.000  0.656
Br  0.656  0.656  0.000
Br  0.662  0.255  0.029
Br  0.745  0.407  0.774
Br  0.774  0.745  0.407
Br  0.971  0.226  0.633

***

Record 2
First-principles (PBE) data for a relaxed RbCe3Br10 crystal, as listed in Alexandria.

Values from the calculation:
N(E_F) = 1.6752 states/eV/atom
DFT total energy = -0.3171 Ry/atom
Formation energy without anion corrections = -24.90 eV/f.u.

a = 10.922 Å, b = 10.922 Å, c = 10.922 Å
α = 60.00°, β = 60.00°, γ = 60.00°
Atoms (fractional coordinates):
Rb  0.250  0.250  0.250
Rb  0.750  0.750  0.750
Ce  0.240  0.240  0.760
Ce  0.240  0.760  0.240
Ce  0.240  0.760  0.760
Ce  0.760  0.240  0.240
Ce  0.760  0.240  0.760
Ce  0.760  0.760  0.240
Br  0.116  0.116  0.116
Br  0.116  0.116  0.652
Br  0.116  0.652  0.116
Br  0.164  0.500  0.500
Br  0.164  0.500  0.836
Br  0.164  0.836  0.500
Br  0.348  0.884  0.884
Br  0.500  0.164  0.500
Br  0.500  0.164  0.836
Br  0.500  0.500  0.164
Br  0.500  0.500  0.836
Br  0.500  0.836  0.164
Br  0.500  0.836  0.500
Br  0.652  0.116  0.116
Br  0.836  0.164  0.500
Br  0.836  0.500  0.164
Br  0.836  0.500  0.500
Br  0.884  0.348  0.884
Br  0.884  0.884  0.348
Br  0.884  0.884  0.884

***

Record 3
First-principles (PBE) data for a relaxed Rb2CeBr4 crystal, as listed in Alexandria.

Values from the calculation:
N(E_F) = 1.4986 states/eV/atom
DFT total energy = -0.2704 Ry/atom
E above lowest polymorph = 48 meV/atom
Formation energy without anion corrections = -11.19 eV/f.u.

a = 9.728 Å, b = 9.728 Å, c = 9.728 Å
α = 144.64°, β = 144.64°, γ = 50.86°
Atoms (fractional coordinates):
Rb  0.138  0.138  0.000
Rb  0.862  0.862  0.000
Ce  0.500  0.500  0.000
Br  0.000  0.500  0.500
Br  0.330  0.330  0.000
Br  0.500  0.000  0.500
Br  0.670  0.670  0.000

***

Record 4
First-principles (PBE) data for a relaxed Rb2SrCeBr8 crystal, as listed in Alexandria.

Values from the calculation:
DFT total energy = -0.2694 Ry/atom
Formation energy without anion corrections = -21.04 eV/f.u.

a = 7.192 Å, b = 7.896 Å, c = 9.360 Å
α = 89.98°, β = 89.95°, γ = 88.09°
Atoms (fractional coordinates):
Rb  0.000  0.000  0.247
Rb  0.000  0.000  0.753
Sr  0.500  0.500  0.000
Ce  0.500  0.500  0.500
Br  0.264  0.812  0.000
Br  0.277  0.375  0.277
Br  0.277  0.375  0.723
Br  0.294  0.803  0.500
Br  0.706  0.197  0.500
Br  0.723  0.625  0.277
Br  0.723  0.625  0.723
Br  0.736  0.188  0.000